Entry A
{
  "formula": "CsCd3Pt",
  "functional": "PBE",
  "state": "relaxed",
  "lattice": [[6.372, -0.001, 0.000], [0.001, 7.341, 0.104], [-0.001, -3.237, 6.601]],
  "species": ["Pt", "Cd", "Cs", "Cd", "Cd", "Pt", "Cs", "Cd", "Cd", "Cd"],
  "fractional_positions": [[0.146, 0.951, 0.920], [0.898, 0.078, 0.256], [0.396, 0.751, 0.376], [0.896, 0.049, 0.672], [0.894, 0.632, 0.697], [0.646, 0.297, 0.574], [0.896, 0.498, 0.118], [0.398, 0.172, 0.239], [0.394, 0.616, 0.797], [0.396, 0.200, 0.823]],
  "vol_a3_per_fu": 155.5,
  "n_ef_per_ev_cell": 2.37,
  "spacegroup": "P2_1, No. 4"
}

---

Entry B
{
  "formula": "CsCd3Pt",
  "functional": "PBE",
  "state": "relaxed",
  "lattice": [[7.395, 0.000, 0.000], [0.000, 6.921, -0.001], [0.000, -3.458, 5.991]],
  "species": ["Cs", "Cd", "Pt", "Cs", "Cd", "Cd", "Cd", "Cd", "Pt", "Cd"],
  "fractional_positions": [[0.697, 0.624, 0.248], [0.446, 0.124, 0.247], [0.196, 0.958, 0.914], [0.197, 0.624, 0.247], [0.446, 0.625, 0.748], [0.946, 0.125, 0.747], [0.946, 0.625, 0.748], [0.946, 0.124, 0.247], [0.696, 0.291, 0.580], [0.446, 0.125, 0.747]],
  "vol_a3_per_fu": 153.3,
  "n_ef_per_ev_cell": 2.56,
  "spacegroup": "Cc, No. 9"
}

---

Entry C
{
  "formula": "CsCd3Pt",
  "functional": "PBE",
  "state": "relaxed",
  "lattice": [[4.662, -2.692, 0.000], [0.000, 5.384, 0.000], [0.000, 0.000, 11.012]],
  "species": ["Cd", "Pt", "Cd", "Cd", "Cd", "Cs", "Cs", "Cd", "Cd", "Pt"],
  "fractional_positions": [[0.667, 0.333, 0.560], [0.000, 0.000, 0.000], [0.000, 0.000, 0.750], [0.333, 0.667, 0.440], [0.667, 0.333, 0.940], [0.667, 0.333, 0.250], [0.333, 0.667, 0.750], [0.333, 0.667, 0.060], [0.000, 0.000, 0.250], [0.000, 0.000, 0.500]],
  "vol_a3_per_fu": 138.2,
  "n_ef_per_ev_cell": 3.24,
  "spacegroup": "P6_3/mmc, No. 194"
}

---

Stability ranking, top and bottom: entry B is the most stable and entry C is the least stable.

---

Entry A
{
  "formula": "CsCd3Pt",
  "functional": "PBE",
  "state": "relaxed",
  "lattice": [[0.931, -5.062, 9.079], [-2.062, 4.935, 8.962], [-8.523, -2.487, 5.485]],
  "species": ["Cs", "Cd", "Cd", "Cd", "Cd", "Cd", "Cs", "Cd", "Cd", "Pt", "Cd", "Pt", "Pt", "Cd", "Cd", "Cs", "Cd", "Cd", "Cs", "Pt"],
  "fractional_positions": [[0.125, 0.625, 0.125], [0.913, 0.587, 0.587], [0.913, 0.913, 0.587], [0.913, 0.587, 0.913], [0.663, 0.337, 0.663], [0.587, 0.913, 0.913], [0.125, 0.125, 0.625], [0.587, 0.587, 0.913], [0.337, 0.663, 0.337], [0.625, 0.625, 0.125], [0.663, 0.663, 0.337], [0.625, 0.125, 0.625], [0.625, 0.625, 0.625], [0.337, 0.663, 0.663], [0.663, 0.337, 0.337], [0.125, 0.125, 0.125], [0.337, 0.337, 0.663], [0.587, 0.913, 0.587], [0.625, 0.125, 0.125], [0.125, 0.625, 0.625]],
  "vol_a3_per_fu": 200.9,
  "n_ef_per_ev_cell": 15.91,
  "spacegroup": "Fd-3m, No. 227"
}

---

Entry B
{
  "formula": "CsCd3Pt",
  "functional": "PBE",
  "state": "relaxed",
  "lattice": [[-3.867, 5.323, -2.702], [-9.762, -7.273, -0.358], [-1.745, 2.024, 6.486]],
  "species": ["Cd", "Cd", "Cd", "Cd", "Cd", "Cs", "Pt", "Cd", "Cd", "Pt", "Cd", "Pt", "Cs", "Cd", "Cd", "Pt", "Cd", "Cs", "Cd", "Cs"],
  "fractional_positions": [[0.296, 0.250, 0.799], [0.514, 0.875, 0.537], [0.486, 0.125, 0.463], [0.486, 0.375, 0.463], [0.514, 0.625, 0.537], [0.000, 0.500, 0.500], [0.777, 0.250, 0.304], [0.014, 0.625, 0.963], [0.986, 0.375, 0.037], [0.277, 0.250, 0.196], [0.986, 0.125, 0.037], [0.723, 0.750, 0.804], [0.500, 0.500, 0.000], [0.704, 0.750, 0.201], [0.014, 0.875, 0.963], [0.223, 0.750, 0.696], [0.796, 0.250, 0.701], [0.500, 0.000, 0.000], [0.204, 0.750, 0.299], [0.000, 0.000, 0.500]],
  "vol_a3_per_fu": 151.9,
  "n_ef_per_ev_cell": 8.23,
  "spacegroup": "Pnma, No. 62"
}

---

Stability ranking, top and bottom: entry A is the most stable and entry B is the least stable.

---

Entry A
{
  "formula": "CsCd3Pt",
  "functional": "PBE",
  "state": "relaxed",
  "lattice": [[5.312, 0.000, 0.000], [0.000, 5.312, 0.000], [2.656, 2.656, 14.135]],
  "species": ["Pt", "Cs", "Cd", "Cd", "Cd", "Pt", "Cd", "Cd", "Cd", "Cs"],
  "fractional_positions": [[0.619, 0.119, 0.762], [0.250, 0.750, 0.500], [0.125, 0.371, 0.750], [0.125, 0.879, 0.750], [0.121, 0.875, 0.250], [0.881, 0.381, 0.238], [0.392, 0.392, 0.217], [0.608, 0.608, 0.783], [0.629, 0.875, 0.250], [0.000, 0.000, 0.000]],
  "vol_a3_per_fu": 199.4,
  "n_ef_per_ev_cell": 4.39,
  "spacegroup": "I-4m2, No. 119"
}

---

Entry B
{
  "formula": "CsCd3Pt",
  "functional": "PBE",
  "state": "relaxed",
  "lattice": [[4.200, 0.000, 0.000], [0.000, 2.986, -8.563], [0.000, 2.986, 8.563]],
  "species": ["Cs", "Cd", "Cd", "Pt", "Cd"],
  "fractional_positions": [[0.500, 0.097, 0.903], [0.500, 0.133, 0.335], [0.500, 0.665, 0.867], [0.000, 0.446, 0.554], [0.000, 0.287, 0.713]],
  "vol_a3_per_fu": 214.8,
  "n_ef_per_ev_cell": 2.44,
  "spacegroup": "Amm2, No. 38"
}

---

Stability ranking, top and bottom: entry A is the most stable and entry B is the least stable.